Entry 1:
Compound: KAuSN2
Source: Alexandria via LeMat-Bulk
Functional: GGA-PBE
Structure: relaxed

Results
- ΔE to the lowest computed polymorph: 0 meV per atom
- Fermi-level density of states: 3.23 states/eV/cell

a b c (Å): 4.290 4.290 5.300
angles (deg): 90.00 90.00 90.00
Space group P4/mmm (No. 123)
Asymmetric unit:
K  0.000  0.000  0.000 (multiplicity 1)
Au  0.500  0.500  0.500 (multiplicity 1)
S  0.500  0.500  0.000 (multiplicity 1)
N  0.000  0.500  0.500 (multiplicity 2)

---

Entry 2:
Compound: KAuSN2
Source: Alexandria via LeMat-Bulk
Functional: GGA-PBE
Structure: relaxed

Results
- ΔE to the lowest computed polymorph: 1113 meV per atom
- Fermi-level density of states: 2.65 states/eV/cell

a b c (Å): 4.844 4.844 6.066
angles (deg): 90.00 90.00 90.00
Space group P4/mmm (No. 123)
Asymmetric unit:
K  0.000  0.000  0.000 (multiplicity 1)
Au  0.500  0.500  0.500 (multiplicity 1)
S  0.000  0.000  0.500 (multiplicity 1)
N  0.000  0.500  0.000 (multiplicity 2)

---

Entry 3:
Compound: KAuSeN2
Source: Alexandria via LeMat-Bulk
Functional: GGA-PBE
Structure: relaxed

Results
- ΔE to the lowest computed polymorph: 1253 meV per atom
- Fermi-level density of states: 6.04 states/eV/cell

a b c (Å): 4.649 4.649 6.458
angles (deg): 90.00 90.00 90.00
Space group P4/mmm (No. 123)
Asymmetric unit:
K  0.000  0.000  0.000 (multiplicity 1)
Au  0.500  0.500  0.500 (multiplicity 1)
Se  0.000  0.000  0.500 (multiplicity 1)
N  0.000  0.500  0.000 (multiplicity 2)

---

Entry 4:
Compound: KAuSeN2
Source: Alexandria via LeMat-Bulk
Functional: GGA-PBE
Structure: relaxed

Results
- ΔE to the lowest computed polymorph: 0 meV per atom
- Fermi-level density of states: 6.48 states/eV/cell

a b c (Å): 4.283 4.283 5.408
angles (deg): 90.00 90.00 90.00
Space group P4/mmm (No. 123)
Asymmetric unit:
K  0.000  0.000  0.000 (multiplicity 1)
Au  0.500  0.500  0.500 (multiplicity 1)
Se  0.500  0.500  0.000 (multiplicity 1)
N  0.000  0.500  0.500 (multiplicity 2)

---

Entry 5:
Compound: KTeAuN2
Source: Alexandria via LeMat-Bulk
Functional: GGA-PBE
Structure: relaxed

Results
- ΔE to the lowest computed polymorph: 0 meV per atom
- Fermi-level density of states: 2.72 states/eV/cell

a b c (Å): 4.505 4.505 5.780
angles (deg): 90.00 90.00 90.00
Space group P4/mmm (No. 123)
Asymmetric unit:
K  0.000  0.000  0.000 (multiplicity 1)
Te  0.500  0.500  0.000 (multiplicity 1)
Au  0.500  0.500  0.500 (multiplicity 1)
N  0.000  0.500  0.500 (multiplicity 2)

---

Entry 6:
Compound: KTe2AuN
Source: Alexandria via LeMat-Bulk
Functional: GGA-PBE
Structure: relaxed

Results
- ΔE to the lowest computed polymorph: 1392 meV per atom
- Fermi-level density of states: 5.83 states/eV/cell

a b c (Å): 6.059 6.059 4.069
angles (deg): 90.00 90.00 90.00
Space group P4/mmm (No. 123)
Asymmetric unit:
K  0.000  0.000  0.000 (multiplicity 1)
Te  0.000  0.500  0.000 (multiplicity 2)
Au  0.500  0.500  0.500 (multiplicity 1)
N  0.000  0.000  0.500 (multiplicity 1)

---

Entry 7:
Compound: KTeAuN2
Source: Alexandria via LeMat-Bulk
Functional: GGA-PBE
Structure: relaxed

Results
- ΔE to the lowest computed polymorph: 753 meV per atom
- Fermi-level density of states: 2.80 states/eV/cell

a b c (Å): 4.736 4.736 7.016
angles (deg): 90.00 90.00 90.00
Space group P4/mmm (No. 123)
Asymmetric unit:
K  0.000  0.000  0.000 (multiplicity 1)
Te  0.000  0.000  0.500 (multiplicity 1)
Au  0.500  0.500  0.500 (multiplicity 1)
N  0.000  0.500  0.000 (multiplicity 2)

---

Entry 8:
Compound: KTe2AuN
Source: Alexandria via LeMat-Bulk
Functional: GGA-PBE
Structure: relaxed

Results
- ΔE to the lowest computed polymorph: 0 meV per atom
- Fermi-level density of states: 2.34 states/eV/cell

a b c (Å): 6.257 6.257 3.710
angles (deg): 90.00 90.00 90.00
Space group P4/mmm (No. 123)
Asymmetric unit:
K  0.000  0.000  0.000 (multiplicity 1)
Te  0.000  0.500  0.500 (multiplicity 2)
Au  0.500  0.500  0.500 (multiplicity 1)
N  0.500  0.500  0.000 (multiplicity 1)

---

Entry 9:
Compound: K2NaAu
Source: Alexandria via LeMat-Bulk
Functional: GGA-PBE
Structure: relaxed

Results
- ΔE to the lowest computed polymorph: 55 meV per atom
- Fermi-level density of states: 4.94 states/eV/cell
- Energy relative to the elements: -0.10 eV/atom

a b c (Å): 4.4941 4.4941 32.2133
angles (deg): 90.00 90.00 120.00
Space group R3m (No. 160, hexagonal axes)
Asymmetric unit:
K  0.0000  0.0000  0.0000 (multiplicity 3)
K  0.0000  0.0000  0.2066 (multiplicity 3)
Na  0.0000  0.0000  0.4370 (multiplicity 3)
Au  0.0000  0.0000  0.6031 (multiplicity 3)

---

Entry 10:
Compound: KNaAu3
Source: Alexandria via LeMat-Bulk
Functional: GGA-PBE
Structure: relaxed

Results
- ΔE to the lowest computed polymorph: 850 meV per atom
- Fermi-level density of states: 4.32 states/eV/cell
- Energy relative to the elements: 0.62 eV/atom

a b c (Å): 5.867 5.867 5.867
angles (deg): 90.00 90.00 90.00
Space group Pm-3m (No. 221)
Asymmetric unit:
K  0.000  0.000  0.000 (multiplicity 1)
Na  0.500  0.500  0.500 (multiplicity 1)
Au  0.000  0.000  0.500 (multiplicity 3)

---

Entry 11:
Compound: KNa9Au2
Source: Alexandria via LeMat-Bulk
Functional: GGA-PBE
Structure: relaxed

Results
- Fermi-level density of states: 22.66 states/eV/cell
- Energy relative to the elements: -0.11 eV/atom

a b c (Å): 13.326 13.326 8.752
angles (deg): 90.00 90.00 90.00
Space group I4_1/amd (No. 141, origin choice 2)
Asymmetric unit:
K  0.000  0.250  0.375 (multiplicity 4)
Na  0.000  0.250  0.875 (multiplicity 4)
Na  0.122  0.056  0.698 (multiplicity 32)
Au  0.000  0.000  0.000 (multiplicity 8)

---

Entry 12:
Compound: K5Na5Au2
Source: Alexandria via LeMat-Bulk
Functional: GGA-PBE
Structure: relaxed

Results
- Fermi-level density of states: 10.98 states/eV/cell
- Energy relative to the elements: -0.09 eV/atom

a b c (Å): 18.624 5.493 12.460
angles (deg): 90.00 128.81 90.00
Space group C2/m (No. 12)
Asymmetric unit:
K  0.000  0.000  0.000 (multiplicity 2)
K  0.144  0.000  0.854 (multiplicity 4)
K  0.173  0.000  0.526 (multiplicity 4)
Na  0.000  0.500  0.500 (multiplicity 2)
Na  0.043  0.500  0.212 (multiplicity 4)
Na  0.240  0.000  0.224 (multiplicity 4)
Au  0.149  0.500  0.086 (multiplicity 4)

---

Entry 13:
Compound: K3Na4Au2
Source: Alexandria via LeMat-Bulk
Functional: GGA-PBE
Structure: relaxed

Results
- ΔE to the lowest computed polymorph: 9 meV per atom
- Fermi-level density of states: 12.55 states/eV/cell
- Energy relative to the elements: -0.15 eV/atom

a b c (Å): 15.404 11.147 8.408
angles (deg): 90.00 104.14 90.00
Space group C2/c (No. 15)
Asymmetric unit:
K  0.000  0.072  0.250 (multiplicity 4)
K  0.136  0.408  0.203 (multiplicity 8)
Na  0.112  0.242  0.652 (multiplicity 8)
Na  0.191  0.099  0.050 (multiplicity 8)
Au  0.222  0.142  0.413 (multiplicity 8)

---

Entry 14:
Compound: K3Na2Au3
Source: Alexandria via LeMat-Bulk
Functional: GGA-PBE
Structure: relaxed

Results
- Fermi-level density of states: 5.19 states/eV/cell
- Energy relative to the elements: -0.24 eV/atom

a b c (Å): 9.5896 9.5896 6.3837
angles (deg): 90.00 90.00 120.00
Space group P6_3/mcm (No. 193)
Asymmetric unit:
K  0.0000  0.2628  0.2500 (multiplicity 6)
Na  0.3333  0.6667  0.0000 (multiplicity 4)
Au  0.0000  0.4048  0.7500 (multiplicity 6)

---

Entry 15:
Compound: K5Na2Au
Source: Alexandria via LeMat-Bulk
Functional: GGA-PBE
Structure: relaxed

Results
- Fermi-level density of states: 21.60 states/eV/cell
- Energy relative to the elements: -0.07 eV/atom

a b c (Å): 4.696 13.816 25.273
angles (deg): 90.00 90.00 90.00
Space group Cmcm (No. 63)
Asymmetric unit:
K  0.000  0.004  0.250 (multiplicity 4)
K  0.000  0.138  0.045 (multiplicity 8)
K  0.000  0.412  0.122 (multiplicity 8)
Na  0.000  0.279  0.685 (multiplicity 8)
Au  0.000  0.308  0.250 (multiplicity 4)

---

Entry 16:
Compound: KNaAu4
Source: Alexandria via LeMat-Bulk
Functional: GGA-PBE
Structure: relaxed

Results
- Fermi-level density of states: 3.83 states/eV/cell
- Energy relative to the elements: -0.33 eV/atom

a b c (Å): 8.094 8.094 8.094
angles (deg): 90.00 90.00 90.00
Space group F-43m (No. 216)
Asymmetric unit:
K  0.000  0.000  0.000 (multiplicity 4)
Na  0.250  0.250  0.250 (multiplicity 4)
Au  0.125  0.125  0.625 (multiplicity 16)

---

Entry 17:
Compound: K2NaAu
Source: Alexandria via LeMat-Bulk
Functional: GGA-PBE
Structure: relaxed

Results
- ΔE to the lowest computed polymorph: 5 meV per atom
- Fermi-level density of states: 1.38 states/eV/cell
- Energy relative to the elements: -0.15 eV/atom

a b c (Å): 4.075 4.075 9.842
angles (deg): 90.00 90.00 90.00
Space group P4/mmm (No. 123)
Asymmetric unit:
K  0.000  0.000  0.192 (multiplicity 2)
Na  0.500  0.500  0.500 (multiplicity 1)
Au  0.500  0.500  0.000 (multiplicity 1)

---

Entry 18:
Compound: KNaAu2
Source: Alexandria via LeMat-Bulk
Functional: GGA-PBE
Structure: relaxed

Results
- ΔE to the lowest computed polymorph: 15 meV per atom
- Fermi-level density of states: 3.18 states/eV/cell
- Energy relative to the elements: -0.26 eV/atom

a b c (Å): 4.863 11.633 7.633
angles (deg): 90.00 90.00 90.00
Space group Cmcm (No. 63)
Asymmetric unit:
K  0.000  0.076  0.250 (multiplicity 4)
Na  0.000  0.222  0.750 (multiplicity 4)
Au  0.000  0.386  0.065 (multiplicity 8)

---

Entry 19:
Compound: K4NaAu2
Source: Alexandria via LeMat-Bulk
Functional: GGA-PBE
Structure: relaxed

Results
- ΔE to the lowest computed polymorph: 24 meV per atom
- Fermi-level density of states: 12.54 states/eV/cell
- Energy relative to the elements: -0.15 eV/atom

a b c (Å): 5.998 10.412 18.466
angles (deg): 90.00 90.00 90.00
Space group Cmcm (No. 63)
Asymmetric unit:
K  0.000  0.000  0.000 (multiplicity 4)
K  0.000  0.333  0.109 (multiplicity 8)
K  0.000  0.334  0.750 (multiplicity 4)
Na  0.000  0.001  0.750 (multiplicity 4)
Au  0.000  0.334  0.572 (multiplicity 8)

---

Entry 20:
Compound: K2NaAu
Source: Alexandria via LeMat-Bulk
Functional: GGA-PBE
Structure: relaxed

Results
- ΔE to the lowest computed polymorph: 0 meV per atom
- Fermi-level density of states: 3.63 states/eV/cell
- Energy relative to the elements: -0.16 eV/atom

a b c (Å): 8.841 5.112 8.322
angles (deg): 90.00 110.66 90.00
Space group Cm (No. 8)
Asymmetric unit:
K  0.000  0.000  0.000 (multiplicity 2)
K  0.186  0.000  0.558 (multiplicity 2)
Na  0.426  0.000  0.278 (multiplicity 2)
Au  0.262  0.500  0.284 (multiplicity 2)

---

Entry 21:
Compound: KNaAu2
Source: Alexandria via LeMat-Bulk
Functional: GGA-PBE
Structure: relaxed

Results
- ΔE to the lowest computed polymorph: 0 meV per atom
- Fermi-level density of states: 1.77 states/eV/cell
- Energy relative to the elements: -0.27 eV/atom

a b c (Å): 4.9755 4.9755 16.7292
angles (deg): 90.00 90.00 120.00
Space group R-3m (No. 166, hexagonal axes)
Asymmetric unit:
K  0.0000  0.0000  0.0000 (multiplicity 3)
Na  0.0000  0.0000  0.5000 (multiplicity 3)
Au  0.0000  0.0000  0.2000 (multiplicity 6)

---

Entry 22:
Compound: K2NaAu
Source: Alexandria via LeMat-Bulk
Functional: GGA-PBE
Structure: relaxed

Results
- ΔE to the lowest computed polymorph: 62 meV per atom
- Fermi-level density of states: 1.14 states/eV/cell
- Energy relative to the elements: -0.09 eV/atom

a b c (Å): 5.704 5.704 4.619
angles (deg): 90.00 90.00 90.00
Space group P4/mmm (No. 123)
Asymmetric unit:
K  0.000  0.500  0.000 (multiplicity 2)
Na  0.000  0.000  0.500 (multiplicity 1)
Au  0.500  0.500  0.500 (multiplicity 1)

---

Entry 23:
Compound: KNaAu2
Source: Alexandria via LeMat-Bulk
Functional: GGA-PBE
Structure: relaxed

Results
- ΔE to the lowest computed polymorph: 93 meV per atom
- Fermi-level density of states: 0.00 states/eV/cell
- Energy relative to the elements: -0.18 eV/atom

a b c (Å): 4.4848 4.4848 22.2259
angles (deg): 90.00 90.00 120.00
Space group R3m (No. 160, hexagonal axes)
Asymmetric unit:
K  0.0000  0.0000  0.0000 (multiplicity 3)
Na  0.0000  0.0000  0.8300 (multiplicity 3)
Au  0.0000  0.0000  0.2330 (multiplicity 3)
Au  0.0000  0.0000  0.4295 (multiplicity 3)

---

Entry 24:
Compound: K2Na4Au
Source: Alexandria via LeMat-Bulk
Functional: GGA-PBE
Structure: relaxed

Results
- ΔE to the lowest computed polymorph: 0 meV per atom
- Fermi-level density of states: 15.96 states/eV/cell
- Energy relative to the elements: -0.10 eV/atom

a b c (Å): 14.462 14.462 5.717
angles (deg): 90.00 90.00 90.00
Space group I4/mcm (No. 140)
Asymmetric unit:
K  0.129  0.371  0.000 (multiplicity 8)
Na  0.076  0.171  0.500 (multiplicity 16)
Au  0.000  0.000  0.250 (multiplicity 4)